(1)
# ScNiW2

A relaxed structure of ScNiW2 (PBE, Alexandria via LeMat-Bulk). Values from VASP.

- SG: No. 12
- Mass density: 12.3 g cm⁻³
- ΔH_f (0 K): 0.216 eV/atom
- Total magnetization: 0.00 μB per formula unit
- ΔE to the lowest computed polymorph: 152 meV/atom

Geometry as Quantum ESPRESSO input:
```
&SYSTEM
  ibrav = 0, nat = 4, ntyp = 3
/
ATOMIC_SPECIES
W 183.84 W.upf
Ni 58.69 Ni.upf
Sc 44.96 Sc.upf
CELL_PARAMETERS angstrom
5.0691 -0.0049 -0.0168
-2.2841 4.8592 0.0081
0.5009 0.7484 2.5899
ATOMIC_POSITIONS angstrom
W 2.7850 0.3717 1.2865
W 0.0000 0.0000 0.0000
Ni -0.8916 2.8038 1.2990
Sc 1.3925 2.4272 -0.0044
```

---

(2)
# HoGaHgPd

A relaxed structure of HoGaHgPd (PBE, Alexandria via LeMat-Bulk). Values from VASP.

- SG: No. 216
- Mass density: 11.3 g cm⁻³
- ΔH_f (0 K): -0.523 eV/atom
- Total magnetization: 0.00 μB per formula unit

Geometry as Quantum ESPRESSO input:
```
&SYSTEM
  ibrav = 0, nat = 4, ntyp = 4
/
ATOMIC_SPECIES
Ga 69.72 Ga.upf
Pd 106.42 Pd.upf
Ho 164.93 Ho.upf
Hg 200.59 Hg.upf
CELL_PARAMETERS angstrom
4.8345 0.0000 0.0000
2.4173 4.1868 0.0000
2.4173 1.3956 3.9474
ATOMIC_POSITIONS angstrom
Ga 2.4173 1.3956 0.9868
Pd 4.8345 2.7912 1.9737
Ho 7.2518 4.1868 2.9605
Hg 0.0000 0.0000 0.0000
```

---

(3)
# CdAuI2N

A relaxed structure of CdAuI2N (PBE, Alexandria via LeMat-Bulk). Values from VASP.

- SG: No. 123
- Mass density: 6.3 g cm⁻³
- Total magnetization: 2.15 μB per formula unit
- E_form (uncorrected): 0.94 eV per atom
- ΔE to the lowest computed polymorph: 200 meV/atom

Geometry as Quantum ESPRESSO input:
```
&SYSTEM
  ibrav = 0, nat = 5, ntyp = 4
/
ATOMIC_SPECIES
I 126.90 I.upf
N 14.01 N.upf
Au 196.97 Au.upf
Cd 112.41 Cd.upf
CELL_PARAMETERS angstrom
5.9822 0.0000 0.0000
0.0000 5.9822 0.0000
0.0000 0.0000 4.2733
ATOMIC_POSITIONS angstrom
I 0.0000 2.9911 0.0000
I 2.9911 0.0000 0.0000
N 0.0000 0.0000 2.1367
Au 2.9911 2.9911 2.1367
Cd 0.0000 0.0000 0.0000
```

---

(4)
# SrScCl2

A relaxed structure of SrScCl2 (PBE, Alexandria via LeMat-Bulk). Values from VASP.

- SG: No. 71
- Mass density: 3.1 g cm⁻³
- Total magnetization: 0.08 μB per formula unit
- E_form (uncorrected): -1.24 eV per atom
- ΔE to the lowest computed polymorph: 134 meV/atom

Geometry as Quantum ESPRESSO input:
```
&SYSTEM
  ibrav = 0, nat = 4, ntyp = 3
/
ATOMIC_SPECIES
Cl 35.45 Cl.upf
Sr 87.62 Sr.upf
Sc 44.96 Sc.upf
CELL_PARAMETERS angstrom
-0.0538 3.9321 4.4495
-5.8557 0.8849 0.4357
4.3969 -3.9131 0.7856
ATOMIC_POSITIONS angstrom
Cl -3.1846 2.5959 2.6326
Cl -5.6795 4.6295 4.6950
Sr -2.2068 -0.3098 1.8319
Sc 0.6942 1.2137 3.8388
```

---

- The highest total magnetization belongs to which entry?
  CdAuI2N

---

- What is the formula in the third record?
  CdAuI2N